# 1
Entry from Alexandria: crystalline PuBSO2 at its relaxed geometry (PBE-GGA).

Summary:
E_tot = -0.333 Ha/atom
SG = P2_1/m, No. 11
Uncorrected formation energy = -2.05 eV/atom

Unit cell a=5.678 b=4.861 c=5.682 alpha=90.00 beta=104.58 gamma=90.00
Positions (direct):
Pu1 0.196 0.250 0.269
Pu2 0.804 0.750 0.731
B1 0.358 0.750 0.920
B2 0.642 0.250 0.080
S1 0.262 0.750 0.565
S2 0.738 0.250 0.435
O1 0.169 0.750 0.031
O2 0.401 0.250 0.980
O3 0.599 0.750 0.020
O4 0.831 0.250 0.969

=====

# 2
Entry from Alexandria: crystalline PuSc3B4O12 at its relaxed geometry (PBE-GGA).

Summary:
E_tot = -0.328 Ha/atom
SG = R32, No. 155
Uncorrected formation energy = -2.94 eV/atom

Unit cell a=6.299 b=6.299 c=6.299 alpha=103.38 beta=103.38 gamma=103.38
Positions (direct):
Pu1 0.000 0.000 0.000
Sc1 0.000 0.547 0.453
Sc2 0.453 0.000 0.547
Sc3 0.547 0.453 0.000
B1 0.048 0.500 0.952
B2 0.500 0.500 0.500
B3 0.500 0.952 0.048
B4 0.952 0.048 0.500
O1 0.031 0.630 0.802
O2 0.092 0.908 0.500
O3 0.198 0.370 0.969
O4 0.360 0.640 0.500
O5 0.370 0.969 0.198
O6 0.500 0.092 0.908
O7 0.500 0.360 0.640
O8 0.630 0.802 0.031
O9 0.640 0.500 0.360
O10 0.802 0.031 0.630
O11 0.908 0.500 0.092
O12 0.969 0.198 0.370

=====

# 3
Entry from Alexandria: crystalline Sr3PuB2O8 at its relaxed geometry (PBE-GGA).

Summary:
E_tot = -0.290 Ha/atom
SG = P-3m1, No. 164
Uncorrected formation energy = -2.73 eV/atom

Unit cell a=5.477 b=5.477 c=7.075 alpha=90.00 beta=90.00 gamma=120.00
Positions (direct):
Sr1 0.000 0.000 0.000
Sr2 0.333 0.667 0.704
Sr3 0.667 0.333 0.296
Pu1 0.000 0.000 0.500
B1 0.333 0.667 0.226
B2 0.667 0.333 0.774
O1 0.184 0.367 0.309
O2 0.184 0.816 0.309
O3 0.333 0.667 0.027
O4 0.367 0.184 0.691
O5 0.633 0.816 0.309
O6 0.667 0.333 0.973
O7 0.816 0.184 0.691
O8 0.816 0.633 0.691

=====

# 4
Entry from Alexandria: crystalline PuTlB2O6 at its relaxed geometry (PBE-GGA).

Summary:
E_tot = -0.303 Ha/atom
SG = C2/c, No. 15
Uncorrected formation energy = -2.27 eV/atom

Unit cell a=6.659 b=6.659 c=7.104 alpha=100.81 beta=100.81 gamma=96.40
Positions (direct):
Pu1 0.174 0.826 0.750
Pu2 0.826 0.174 0.250
Tl1 0.394 0.606 0.250
Tl2 0.606 0.394 0.750
B1 0.099 0.309 0.700
B2 0.309 0.099 0.200
B3 0.691 0.901 0.800
B4 0.901 0.691 0.300
O1 0.086 0.731 0.438
O2 0.150 0.201 0.248
O3 0.183 0.510 0.794
O4 0.201 0.150 0.748
O5 0.269 0.914 0.062
O6 0.490 0.817 0.706
O7 0.510 0.183 0.294
O8 0.731 0.086 0.938
O9 0.799 0.850 0.252
O10 0.817 0.490 0.206
O11 0.850 0.799 0.752
O12 0.914 0.269 0.562

=====

# 5
Entry from Alexandria: crystalline PuTlB2O8 at its relaxed geometry (PBE-GGA).

Summary:
E_tot = -0.280 Ha/atom
SG = C2/m, No. 12
Uncorrected formation energy = -1.82 eV/atom

Unit cell a=4.802 b=4.802 c=7.266 alpha=95.62 beta=95.62 gamma=66.59
Positions (direct):
Pu1 0.000 0.000 0.000
Tl1 0.000 0.000 0.500
B1 0.334 0.334 0.768
B2 0.666 0.666 0.232
O1 0.210 0.673 0.793
O2 0.225 0.225 0.922
O3 0.250 0.250 0.583
O4 0.327 0.790 0.207
O5 0.673 0.210 0.793
O6 0.750 0.750 0.417
O7 0.775 0.775 0.078
O8 0.790 0.327 0.207

=====

# 6
Entry from Alexandria: crystalline TmPuB2O8 at its relaxed geometry (PBE-GGA).

Summary:
E_tot = -0.311 Ha/atom
SG = I-4m2, No. 119
Uncorrected formation energy = -2.46 eV/atom

Unit cell a=5.496 b=5.496 c=5.496 alpha=105.89 beta=105.89 gamma=116.89
Positions (direct):
Tm1 0.000 0.000 0.000
Pu1 0.250 0.750 0.500
B1 0.500 0.500 0.000
B2 0.750 0.250 0.500
O1 0.342 0.164 0.822
O2 0.342 0.521 0.178
O3 0.416 0.087 0.329
O4 0.479 0.658 0.822
O5 0.758 0.087 0.671
O6 0.836 0.658 0.178
O7 0.913 0.242 0.329
O8 0.913 0.584 0.671

=====

# 7
Entry from Alexandria: crystalline Tm3PuB4O12 at its relaxed geometry (PBE-GGA).

Summary:
E_tot = -0.320 Ha/atom
SG = R32, No. 155
Uncorrected formation energy = -3.01 eV/atom

Unit cell a=6.476 b=6.476 c=6.476 alpha=102.70 beta=102.70 gamma=102.70
Positions (direct):
Tm1 0.000 0.538 0.462
Tm2 0.462 0.000 0.538
Tm3 0.538 0.462 0.000
Pu1 0.000 0.000 0.000
B1 0.039 0.500 0.961
B2 0.500 0.500 0.500
B3 0.500 0.961 0.039
B4 0.961 0.039 0.500
O1 0.028 0.633 0.820
O2 0.098 0.902 0.500
O3 0.180 0.367 0.972
O4 0.363 0.637 0.500
O5 0.367 0.972 0.180
O6 0.500 0.098 0.902
O7 0.500 0.363 0.637
O8 0.633 0.820 0.028
O9 0.637 0.500 0.363
O10 0.820 0.028 0.633
O11 0.902 0.500 0.098
O12 0.972 0.180 0.367

=====

# 8
Entry from Alexandria: crystalline Rb4B2O5 at its relaxed geometry (PBE-GGA).

Summary:
E_tot = -0.213 Ha/atom
SG = Cm, No. 8
Uncorrected formation energy = -1.97 eV/atom

Unit cell a=5.983 b=5.983 c=7.261 alpha=101.22 beta=101.22 gamma=62.68
Positions (direct):
Rb1 0.000 0.000 0.000
Rb2 0.092 0.092 0.519
Rb3 0.348 0.348 0.921
Rb4 0.726 0.726 0.216
B1 0.476 0.476 0.360
B2 0.613 0.613 0.737
O1 0.240 0.630 0.278
O2 0.432 0.822 0.829
O3 0.583 0.583 0.532
O4 0.630 0.240 0.278
O5 0.822 0.432 0.829

=====

Among the records above, which one has the lowest E_tot? PuBSO2

=====

Which of these has the highest E_tot? Rb4B2O5